CaTaMo2O, relaxed, DFT PBE with a Hubbard U; spin magnetization = 1.35 μB per atom; E = -5.087 eV/atom
1.0
5.6411 0.0000 0.0000
0.0000 5.6411 0.0000
0.0000 0.0000 3.8806
Ca Ta Mo O
1 1 2 1
Cartesian
0.0000 0.0000 0.0000
2.8205 2.8205 1.9403
0.0000 2.8205 0.0000
2.8205 0.0000 0.0000
0.0000 0.0000 1.9403